# Pr2ScZnAu6

A relaxed Pr2ScZnAu6 crystal (PBE-GGA, Alexandria via LeMat-Bulk).

- ΔH_f (0 K) (eV per atom) = -0.249

Cell and atoms, written as extended XYZ:
```
10
Lattice="0.000 5.016 5.016 5.016 0.000 5.016 5.016 5.016 0.000" Properties=species:S:1:pos:R:3 pbc="T T T"
Pr 2.508 2.508 2.508
Pr 7.524 7.524 7.524
Sc 0.000 0.000 0.000
Zn 5.016 5.016 5.016
Au 5.016 5.016 2.574
Au 5.016 2.574 5.016
Au 7.459 5.016 5.016
Au 2.574 5.016 5.016
Au 5.016 7.459 5.016
Au 5.016 5.016 7.459
```

# Pm6Pr5Sm

A relaxed Pm6Pr5Sm crystal (PBE-GGA, Alexandria via LeMat-Bulk).

- ΔH_f (0 K) (eV per atom) = 0.013

Cell and atoms, written as extended XYZ:
```
12
Lattice="3.187 -5.520 0.000 3.187 5.520 0.000 -2.134 0.000 11.988" Properties=species:S:1:pos:R:3 pbc="T T T"
Pm 1.055 1.836 2.988
Pm -0.008 0.000 9.000
Pm 1.055 -1.836 2.988
Pm 3.185 1.836 9.000
Pm 4.248 0.000 2.987
Pm 3.185 -1.836 9.000
Pr 2.120 3.682 5.994
Pr 3.187 1.841 0.000
Pr 2.120 0.000 5.994
Pr 3.187 -1.841 0.000
Pr 2.120 -3.682 5.994
Sm 0.000 0.000 0.000
```

# LaScSb2

A relaxed LaScSb2 crystal (PBE-GGA, Alexandria via LeMat-Bulk).

- ΔE to the lowest computed polymorph (meV/atom) = 307
- formation energy (no corrections) (meV per atom) = -778

Cell and atoms, written as extended XYZ:
```
4
Lattice="3.727 0.000 0.000 0.000 3.727 0.000 0.000 0.000 7.823" Properties=species:S:1:pos:R:3 pbc="T T T"
La 0.000 0.000 0.000
Sc 0.000 0.000 3.911
Sb 1.863 1.863 2.172
Sb 1.863 1.863 5.651
```

# LaSi3Pb

A relaxed LaSi3Pb crystal (PBE-GGA, Alexandria via LeMat-Bulk).

- ΔE to the lowest computed polymorph (meV/atom) = 282
- formation energy (no corrections) (meV per atom) = 1116

Cell and atoms, written as extended XYZ:
```
5
Lattice="5.496 0.000 0.000 0.000 5.496 0.000 0.000 0.000 5.496" Properties=species:S:1:pos:R:3 pbc="T T T"
La 0.000 0.000 0.000
Si 0.000 0.000 2.748
Si 0.000 2.748 0.000
Si 2.748 0.000 0.000
Pb 2.748 2.748 2.748
```

# Ac2HoThAs4

A relaxed Ac2HoThAs4 crystal (PBE-GGA, Alexandria via LeMat-Bulk).

- ΔH_f (0 K) (eV per atom) = -1.466

Cell and atoms, written as extended XYZ:
```
8
Lattice="7.510 0.000 0.000 0.000 4.354 0.000 -2.514 0.000 7.167" Properties=species:S:1:pos:R:3 pbc="T T T"
Ac 0.000 0.000 0.000
Ac 3.755 2.177 0.000
Ho -1.257 2.177 3.584
Th 2.498 0.000 3.584
As -0.025 0.000 5.212
As 1.226 2.177 1.944
As 3.770 2.177 5.223
As 5.021 0.000 1.956
```

# Sc2MoPRu

A relaxed Sc2MoPRu crystal (PBE-GGA, Alexandria via LeMat-Bulk).

- ΔH_f (0 K) (eV per atom) = 0.481

Cell and atoms, written as extended XYZ:
```
5
Lattice="4.931 0.000 0.000 0.000 4.931 0.000 0.000 0.000 4.622" Properties=species:S:1:pos:R:3 pbc="T T T"
Sc 0.000 2.466 0.000
Sc 2.466 0.000 0.000
Mo 0.000 0.000 2.311
P 2.466 2.466 2.311
Ru 0.000 0.000 0.000
```

# Ac2La5Y4

A relaxed Ac2La5Y4 crystal (PBE-GGA, Alexandria via LeMat-Bulk).

- ΔH_f (0 K) (eV per atom) = 0.033

Cell and atoms, written as extended XYZ:
```
11
Lattice="12.195 -1.873 0.000 12.195 1.873 0.000 -2.359 0.000 8.816" Properties=species:S:1:pos:R:3 pbc="T T T"
Ac 1.675 0.000 1.968
Ac 20.354 0.000 6.849
La -1.180 0.000 4.408
La 4.982 0.000 6.057
La 7.913 0.000 3.551
La 14.117 0.000 5.265
La 17.048 0.000 2.759
Y 2.190 0.000 8.414
Y 10.702 0.000 1.225
Y 11.328 0.000 7.591
Y 19.840 0.000 0.402
```

# BeCu5Au6

A relaxed BeCu5Au6 crystal (PBE-GGA, Alexandria via LeMat-Bulk).

- ΔH_f (0 K) (eV per atom) = -0.045

Cell and atoms, written as extended XYZ:
```
12
Lattice="2.142 -6.418 0.000 2.142 6.418 0.000 0.000 0.000 6.458" Properties=species:S:1:pos:R:3 pbc="T T T"
Be 0.000 0.000 0.000
Cu 0.000 0.000 3.229
Cu 2.142 2.232 0.000
Cu 2.142 2.165 3.229
Cu 2.142 -2.165 3.229
Cu 2.142 -2.232 0.000
Au 2.142 4.368 1.583
Au 2.142 4.368 4.874
Au 2.142 0.000 1.502
Au 2.142 0.000 4.956
Au 2.142 -4.368 1.583
Au 2.142 -4.368 4.874
```

What did we get for Fermi-level density of states? Answer: 0.884 1.541 1.119 1.234 0.223 0.889 1.886 0.344 states/eV/atom, in the order shown.
What did we get for energy? Answer: -3.932 -4.748 -5.654 -3.865 -6.317 -7.155 -5.304 -3.701 eV per atom, in the order shown.
What did we get for magnetization? Answer: 0.0 0.0 0.0 0.0 0.0 1.0 0.0 0.0 μB per formula unit, in the order shown.